# 1
## Ta2SbBr (PBE)

Data for Ta2SbBr after structural relaxation.

Structure (CIF):
```
data_Ta2SbBr
_chemical_formula_sum 'Ta2 Sb1 Br1'
_symmetry_space_group_name_H-M 'P 4 m m'
_symmetry_Int_Tables_number 99
_symmetry_space_group_name_Hall 'P 4 -2'
_cell_length_a 3.4252
_cell_length_b 3.4252
_cell_length_c 8.1453
_cell_angle_alpha 90.00
_cell_angle_beta 90.00
_cell_angle_gamma 90.00
loop_
_atom_site_label
_atom_site_type_symbol
_atom_site_fract_x
_atom_site_fract_y
_atom_site_fract_z
_atom_site_occupancy
Ta1 Ta 0.0000 0.0000 0.0000 1
Ta2 Ta 0.5000 0.5000 0.1779 1
Sb1 Sb 0.5000 0.5000 0.8048 1
Br1 Br 0.0000 0.0000 0.4175 1
```

Summary:
E_tot, eV/atom: -7.29
D(E_F), states/eV/cell: 2.33
E_form (uncorrected), meV per atom: 89.0

---

# 2
## TaSb2Br (PBE)

Data for TaSb2Br after structural relaxation.

Structure (CIF):
```
data_TaSb2Br
_chemical_formula_sum 'Ta2 Sb4 Br2'
_symmetry_space_group_name_H-M 'I m m m'
_symmetry_Int_Tables_number 71
_symmetry_space_group_name_Hall '-I 2 2'
_cell_length_a 3.1374
_cell_length_b 5.1234
_cell_length_c 12.7337
_cell_angle_alpha 90.00
_cell_angle_beta 90.00
_cell_angle_gamma 90.00
loop_
_atom_site_label
_atom_site_type_symbol
_atom_site_fract_x
_atom_site_fract_y
_atom_site_fract_z
_atom_site_occupancy
Ta1 Ta 0.0000 0.0000 0.0000 1
Sb1 Sb 0.0000 0.5000 0.3063 1
Br1 Br 0.0000 0.0000 0.5000 1
```

Summary:
E_tot, eV/atom: -5.11
D(E_F), states/eV/cell: 7.19
E_form (uncorrected), meV per atom: 336.1

---

# 3
## TaSbBr (PBE)

Data for TaSbBr after structural relaxation.

Structure (CIF):
```
data_TaSbBr
_chemical_formula_sum 'Ta1 Sb1 Br1'
_symmetry_space_group_name_H-M 'P -6 m 2'
_symmetry_Int_Tables_number 187
_symmetry_space_group_name_Hall 'P -6 2'
_cell_length_a 4.8098
_cell_length_b 4.8098
_cell_length_c 3.1800
_cell_angle_alpha 90.00
_cell_angle_beta 90.00
_cell_angle_gamma 120.00
loop_
_atom_site_label
_atom_site_type_symbol
_atom_site_fract_x
_atom_site_fract_y
_atom_site_fract_z
_atom_site_occupancy
Ta1 Ta 0.0000 0.0000 0.0000 1
Sb1 Sb 0.3333 0.6667 0.5000 1
Br1 Br 0.6667 0.3333 0.0000 1
```

Summary:
E_tot, eV/atom: -5.54
D(E_F), states/eV/cell: 2.84
E_form (uncorrected), meV per atom: 344.2

---

# 4
## TaSbBr (PBE)

Data for TaSbBr after structural relaxation.

Structure (CIF):
```
data_TaSbBr
_chemical_formula_sum 'Ta4 Sb4 Br4'
_symmetry_space_group_name_H-M 'F -4 3 m'
_symmetry_Int_Tables_number 216
_symmetry_space_group_name_Hall 'F -4 2 3'
_cell_length_a 6.8996
_cell_length_b 6.8996
_cell_length_c 6.8996
_cell_angle_alpha 90.00
_cell_angle_beta 90.00
_cell_angle_gamma 90.00
loop_
_atom_site_label
_atom_site_type_symbol
_atom_site_fract_x
_atom_site_fract_y
_atom_site_fract_z
_atom_site_occupancy
Ta1 Ta 0.0000 0.0000 0.0000 1
Sb1 Sb 0.2500 0.2500 0.7500 1
Br1 Br 0.0000 0.0000 0.5000 1
```

Summary:
E_tot, eV/atom: -4.86
D(E_F), states/eV/cell: 8.60
E_form (uncorrected), meV per atom: 1026.3